The following is a PBE-GGA calculation of Th5Ge5Pd2 after structural relaxation, from Alexandria via LeMat-Bulk.

Total energy in eV/f.u.: -79.9
Formation energy in meV per atom: -776

Unit cell a=15.351 b=4.269 c=11.610 alpha=90.00 beta=130.57 gamma=90.00
Space group C2/m (No. 12)
Symmetry-distinct sites (fractional):
Th  0.000  0.000  0.000 x2
Th  0.106  0.000  0.419 x4
Th  0.197  0.000  0.823 x4
Ge  0.000  0.500  0.500 x2
Ge  0.071  0.500  0.866 x4
Ge  0.242  0.500  0.678 x4
Pd  0.142  0.500  0.259 x4



The following is a PBE-GGA calculation of Th3Ge3Pd2 after structural relaxation, from Alexandria via LeMat-Bulk.

Total energy in eV/f.u.: -53.3
Formation energy in meV per atom: -855

Unit cell a=4.401 b=10.919 c=14.830 alpha=90.00 beta=90.00 gamma=90.00
Space group Cmcm (No. 63)
Symmetry-distinct sites (fractional):
Th  0.000  0.087  0.112 x8
Th  0.000  0.369  0.250 x4
Ge  0.000  0.340  0.750 x4
Ge  0.000  0.391  0.042 x8
Pd  0.000  0.208  0.596 x8



The following is a PBE-GGA calculation of Th4Ge6Pd5 after structural relaxation, from Alexandria via LeMat-Bulk.

Total energy in eV/f.u.: -94.3
Formation energy in meV per atom: -727

Unit cell a=4.297 b=19.339 c=15.438 alpha=90.00 beta=90.00 gamma=90.00
Space group Cmc2_1 (No. 36)
Symmetry-distinct sites (fractional):
Th  0.000  0.017  0.000 x4
Th  0.000  0.035  0.259 x4
Th  0.000  0.165  0.801 x4
Th  0.000  0.181  0.440 x4
Ge  0.000  0.112  0.616 x4
Ge  0.000  0.220  0.991 x4
Ge  0.000  0.232  0.251 x4
Ge  0.000  0.415  0.625 x4
Ge  0.000  0.429  0.900 x4
Ge  0.000  0.443  0.353 x4
Pd  0.000  0.153  0.126 x4
Pd  0.000  0.308  0.117 x4
Pd  0.000  0.340  0.773 x4
Pd  0.000  0.353  0.473 x4
Pd  0.000  0.452  0.169 x4



The following is a PBE-GGA calculation of ThGe3Pd5 after structural relaxation, from Alexandria via LeMat-Bulk.

Total energy in eV/f.u.: -52.5
Formation energy in meV per atom: -580

Unit cell a=3.841 b=13.209 c=12.980 alpha=90.00 beta=90.00 gamma=90.00
Space group Cmcm (No. 63)
Symmetry-distinct sites (fractional):
Th  0.000  0.129  0.250 x4
Ge  0.000  0.129  0.750 x4
Ge  0.000  0.381  0.542 x8
Pd  0.000  0.000  0.000 x4
Pd  0.000  0.202  0.574 x8
Pd  0.000  0.454  0.147 x8



> What is the total energy in the fourth record?

-52.5 eV/f.u.